This record from Alexandria describes a geometry-optimized Y4ZnGaO structure. The functional is PBE.

Unit cell a=6.5159 b=6.5164 c=8.3124 alpha=90.00 beta=113.08 gamma=90.00
Fractional positions:
Y: 0.5000 0.0000 0.5000
Y: 0.4282 0.7500 0.8563
Zn: 0.3804 0.2500 0.7609
Y: 0.0737 0.7500 0.1475
Ga: 0.1178 0.2500 0.2355
Ga: 0.8822 0.7500 0.7645
O: 0.2508 0.7500 0.5017
Y: 0.5000 0.5000 0.5000
O: 0.7492 0.2500 0.4983
Y: 0.0000 0.0000 0.5000
Y: 0.9263 0.2500 0.8525
Y: 0.5718 0.2500 0.1437
Zn: 0.6196 0.7500 0.2391
Y: 0.0000 0.5000 0.5000

Properties
Energy: -6.09 eV per atom
Uncorrected formation energy: -1.07 eV/atom

This record from Alexandria describes a geometry-optimized Y2ZrGaO structure. The functional is PBE.

Unit cell a=4.7609 b=4.7609 c=4.3960 alpha=90.00 beta=90.00 gamma=90.00
Fractional positions:
Y: 0.0000 0.5000 0.0000
Zr: 0.0000 0.0000 0.5000
O: 0.0000 0.0000 0.0000
Y: 0.5000 0.0000 0.0000
Ga: 0.5000 0.5000 0.5000

Properties
Energy: -7.19 eV per atom
Uncorrected formation energy: -1.29 eV/atom

This record from Alexandria describes a geometry-optimized YZr2GaO structure. The functional is PBE.

Unit cell a=4.4303 b=4.4303 c=4.7861 alpha=90.00 beta=90.00 gamma=90.00
Fractional positions:
Zr: 0.0000 0.5000 0.0000
Y: 0.0000 0.0000 0.5000
Zr: 0.5000 0.0000 0.0000
O: 0.0000 0.0000 0.0000
Ga: 0.5000 0.5000 0.5000

Properties
Energy: -7.51 eV per atom
Uncorrected formation energy: -1.20 eV/atom

This record from Alexandria describes a geometry-optimized Yb3Ga5O12 structure. The functional is PBE.

Unit cell a=10.7516 b=10.7516 c=10.7516 alpha=109.47 beta=109.47 gamma=109.47
Site moments in Bohr magnetons follow the coordinates.
Fractional positions:
O: 0.7055 0.6777 0.0832  0.09
O: 0.4055 0.0832 0.8776  0.09
Yb: 0.7500 0.6250 0.8750  0.63
Ga: 0.0000 0.0000 0.5000  0.00
O: 0.6777 0.0832 0.7055  0.09
O: 0.9055 0.3776 0.5832  0.09
O: 0.1224 0.5945 0.9168  0.09
Yb: 0.8750 0.6250 0.2500  0.63
Ga: 0.2500 0.1250 0.8750  0.00
O: 0.9168 0.2945 0.3223  0.09
Ga: 0.0000 0.5000 0.0000  0.00
O: 0.5279 0.4055 0.8223  0.09
Yb: 0.2500 0.8750 0.6250  0.63
O: 0.9721 0.7945 0.8776  0.09
O: 0.3776 0.2945 0.4721  0.09
Ga: 0.0000 0.0000 0.0000  0.00
O: 0.8776 0.9721 0.7945  0.09
Ga: 0.7500 0.3750 0.6250  0.00
Ga: 0.1250 0.7500 0.8750  0.00
Yb: 0.6250 0.2500 0.8750  0.63
Ga: 0.3750 0.2500 0.6250  0.00
O: 0.3776 0.5832 0.9055  0.09
Ga: 0.5000 0.0000 0.0000  0.00
Ga: 0.5000 0.0000 0.5000  0.00
O: 0.1777 0.4721 0.5945  0.09
Yb: 0.1250 0.3750 0.7500  0.63
O: 0.2945 0.3223 0.9168  0.09
Yb: 0.8750 0.7500 0.6250  0.63
Yb: 0.7500 0.1250 0.3750  0.63
O: 0.9721 0.6777 0.0945  0.09
O: 0.9055 0.0279 0.3223  0.09
O: 0.7945 0.4168 0.8223  0.09
O: 0.8776 0.4055 0.0832  0.09
O: 0.6777 0.0945 0.9721  0.09
O: 0.4721 0.3776 0.2945  0.09
O: 0.0279 0.2055 0.1224  0.09
O: 0.0832 0.7055 0.6777  0.09
O: 0.2055 0.1224 0.0279  0.09
O: 0.8223 0.5279 0.4055  0.09
Ga: 0.0000 0.5000 0.5000  0.00
O: 0.0832 0.8776 0.4055  0.09
O: 0.5279 0.6224 0.7055  0.09
O: 0.5945 0.9168 0.1224  0.09
O: 0.5945 0.1777 0.4721  0.09
Yb: 0.3750 0.7500 0.1250  0.63
O: 0.8223 0.7945 0.4168  0.09
O: 0.2055 0.5832 0.1777  0.09
Ga: 0.7500 0.8750 0.1250  0.00
O: 0.9168 0.1224 0.5945  0.09
O: 0.3223 0.9055 0.0279  0.09
O: 0.7945 0.8776 0.9721  0.09
O: 0.6224 0.7055 0.5279  0.09
O: 0.4721 0.5945 0.1777  0.09
Ga: 0.6250 0.7500 0.3750  0.00
O: 0.5832 0.9055 0.3776  0.09
Ga: 0.6250 0.3750 0.2500  0.00
O: 0.4168 0.8223 0.7945  0.09
O: 0.5832 0.1777 0.2055  0.09
O: 0.1224 0.0279 0.2055  0.09
Ga: 0.5000 0.5000 0.0000  0.00
O: 0.3223 0.9168 0.2945  0.09
O: 0.2945 0.4721 0.3776  0.09
Yb: 0.6250 0.8750 0.7500  0.63
Ga: 0.3750 0.6250 0.7500  0.00
Ga: 0.8750 0.1250 0.7500  0.00
O: 0.7055 0.5279 0.6224  0.09
Yb: 0.3750 0.1250 0.2500  0.63
O: 0.0945 0.6224 0.4168  0.09
Ga: 0.5000 0.5000 0.5000  0.00
O: 0.1777 0.2055 0.5832  0.09
Ga: 0.1250 0.8750 0.2500  0.00
O: 0.4055 0.8223 0.5279  0.09
O: 0.6224 0.4168 0.0945  0.09
O: 0.0279 0.3223 0.9055  0.09
Ga: 0.2500 0.6250 0.3750  0.00
Ga: 0.8750 0.2500 0.1250  0.00
O: 0.4168 0.0945 0.6224  0.09
Yb: 0.2500 0.3750 0.1250  0.63
Yb: 0.1250 0.2500 0.3750  0.63
O: 0.0945 0.9721 0.6777  0.09

Properties
Energy: -6.19 eV per atom
Uncorrected formation energy: -2.23 eV/atom

This record from Alexandria describes a geometry-optimized Yb2ZrGaO6 structure. The functional is PBE.

Unit cell a=5.5218 b=5.6373 c=5.5783 alpha=119.54 beta=120.42 gamma=90.33
Site moments in Bohr magnetons follow the coordinates.
Fractional positions:
Yb: 0.7246 0.2160 0.4732  0.01
O: 0.3062 0.1774 0.9962  0.13
O: 0.1295 0.6433 0.8908  0.21
Yb: 0.2754 0.7840 0.5268  0.01
Zr: 0.5000 0.5000 0.0000  -0.03
O: 0.6938 0.8226 0.0038  0.13
O: 0.3044 0.1809 0.4871  0.12
O: 0.8705 0.3567 0.1092  0.21
Ga: 0.0000 0.0000 0.0000  0.00
O: 0.6956 0.8191 0.5129  0.12

Properties
Energy: -7.16 eV per atom
Uncorrected formation energy: -2.72 eV/atom

This record from Alexandria describes a geometry-optimized ZnGaO3 structure. The functional is PBE.

Unit cell a=3.7683 b=3.7683 c=3.7683 alpha=90.00 beta=90.00 gamma=90.00
Fractional positions:
O: 0.5000 0.0000 0.0000
Ga: 0.5000 0.5000 0.5000
Zn: 0.0000 0.0000 0.0000
O: 0.0000 0.5000 0.0000
O: 0.0000 0.0000 0.5000

Properties
Energy: -4.08 eV per atom
Uncorrected formation energy: -0.24 eV/atom

This record from Alexandria describes a geometry-optimized Zn2Ga2O5 structure. The functional is PBE.

Unit cell a=3.2267 b=3.2267 c=11.5285 alpha=81.96 beta=81.96 gamma=60.00
Fractional positions:
O: 0.4644 0.4644 0.6069
O: 0.7412 0.7412 0.7765
O: 0.6029 0.6029 0.1914
O: 0.9956 0.9956 0.0131
Zn: 0.5229 0.5229 0.4313
Ga: 0.9361 0.9361 0.1918
Ga: 0.1027 0.1027 0.6919
Zn: 0.6826 0.6826 0.9522
O: 0.8767 0.8767 0.3699

Properties
Energy: -5.33 eV per atom
Uncorrected formation energy: -1.62 eV/atom

This record from Alexandria describes a geometry-optimized ZnGaO3 structure. The functional is PBE.

Unit cell a=3.7757 b=3.7757 c=3.7757 alpha=90.00 beta=90.00 gamma=90.00
Fractional positions:
Zn: 0.5000 0.5000 0.5000
O: 0.0000 0.5000 0.0000
O: 0.5000 0.0000 0.0000
Ga: 0.0000 0.0000 0.0000
O: 0.0000 0.0000 0.5000

Properties
Energy: -4.55 eV per atom
Uncorrected formation energy: -0.71 eV/atom